1.
The following is a DFT calculation (GGA-PBE) of a geometry-optimized Pr3ZnNi8 structure.

It has space group R3m (No. 160, hexagonal axes), with a = 5.0845 Å, b = 5.0845 Å, c = 25.0862 Å, α = 90.00°, β = 90.00° and γ = 120.00°. Symmetry generates all atoms from Pr at (0.0000, 0.0000, 0.0000), Pr at (0.0000, 0.0000, 0.1288), Pr at (0.0000, 0.0000, 0.5160), Zn at (0.0000, 0.0000, 0.6384), Ni at (0.0000, 0.0000, 0.3179), Ni at (0.0000, 0.0000, 0.8187), Ni at (0.1685, 0.3370, 0.3999) and Ni at (0.1685, 0.3369, 0.9036).

The value obtained for the formation energy is -3.445 eV per formula unit. The density of states at the Fermi level comes out at 24.63 states/eV per cell.


2.
The following is a DFT calculation (GGA-PBE) of a geometry-optimized Ga2AgPt structure.

It has space group Cm (No. 8), with a = 7.946 Å, b = 3.556 Å, c = 6.007 Å, α = 90.00°, β = 122.60° and γ = 90.00°. Symmetry generates all atoms from Ga at (0.000, 0.000, 0.000), Ga at (0.223, 0.000, 0.578), Ag at (0.394, 0.000, 0.265) and Pt at (0.125, 0.500, 0.812).

The value obtained for the formation energy is -1.215 eV per formula unit. The density of states at the Fermi level comes out at 2.55 states/eV per cell. The calculation puts the energy relative to the lowest polymorph listed for this composition at 0.068 eV per formula unit.


3.
The following is a DFT calculation (GGA-PBE) of a geometry-optimized LaTmPdSe3 structure.

It has space group P2_1/m (No. 11), with a = 7.735 Å, b = 4.034 Å, c = 9.584 Å, α = 90.00°, β = 104.05° and γ = 90.00°. Symmetry generates all atoms from La at (0.219, 0.250, 0.293), Tm at (0.310, 0.750, 0.827), Pd at (0.095, 0.250, 0.599), Se at (0.065, 0.250, 0.859), Se at (0.291, 0.750, 0.534) and Se at (0.420, 0.750, 0.141).

As for the formation energy (no corrections): -1.64 eV per atom. The density of states at the Fermi level comes out at 0.52 states/eV per cell.